La2PmPrIn2 | GGA-PBE | relaxed

The structure in CIF format:
```
data_La2PmPrIn2
_cell_length_a 5.3045
_cell_length_b 10.4433
_cell_length_c 6.9160
_cell_angle_alpha 90.00
_cell_angle_beta 90.00
_cell_angle_gamma 90.00
_symmetry_space_group_name_H-M 'P m c 21'
_symmetry_Int_Tables_number 26
_symmetry_space_group_name_Hall 'P 2c -2'
loop_
_atom_site_label
_atom_site_fract_x
_atom_site_fract_y
_atom_site_fract_z
_atom_site_occupancy
La1 0.0000 0.0549 0.0000 1
La2 0.5000 0.1778 0.2301 1
Pm1 0.0000 0.3121 0.6074 1
Pr1 0.5000 0.4584 0.8759 1
In1 0.0000 0.3743 0.1380 1
In2 0.5000 0.1432 0.7164 1
```

Energy of formation ... -0.359 eV/atom
Final energy ... -54.0 eV per cell

=====

LaPmInPt | GGA-PBE | relaxed

The structure in CIF format:
```
data_LaPmInPt
_cell_length_a 7.5423
_cell_length_b 7.5423
_cell_length_c 7.5423
_cell_angle_alpha 90.00
_cell_angle_beta 90.00
_cell_angle_gamma 90.00
_symmetry_space_group_name_H-M 'F -4 3 m'
_symmetry_Int_Tables_number 216
_symmetry_space_group_name_Hall 'F -4 2 3'
loop_
_atom_site_label
_atom_site_fract_x
_atom_site_fract_y
_atom_site_fract_z
_atom_site_occupancy
La1 0.0000 0.0000 0.0000 1
Pm1 0.0000 0.0000 0.5000 1
In1 0.2500 0.2500 0.2500 1
Pt1 0.2500 0.2500 0.7500 1
```

Energy of formation ... -0.654 eV/atom
Final energy ... -84.3 eV per cell

=====

La2PmInRu | GGA-PBE | relaxed

The structure in CIF format:
```
data_La2PmInRu
_cell_length_a 5.4011
_cell_length_b 5.4011
_cell_length_c 5.5537
_cell_angle_alpha 90.00
_cell_angle_beta 90.00
_cell_angle_gamma 90.00
_symmetry_space_group_name_H-M 'P 4 m m'
_symmetry_Int_Tables_number 99
_symmetry_space_group_name_Hall 'P 4 -2'
loop_
_atom_site_label
_atom_site_fract_x
_atom_site_fract_y
_atom_site_fract_z
_atom_site_occupancy
La1 0.0000 0.5000 0.0000 1
Pm1 0.0000 0.0000 0.5035 1
In1 0.5000 0.5000 0.5027 1
Ru1 0.0000 0.0000 0.0062 1
```

Energy of formation ... -0.276 eV/atom
Final energy ... -28.0 eV per cell

=====

LaPmInRu | GGA-PBE | relaxed

The structure in CIF format:
```
data_LaPmInRu
_cell_length_a 7.4358
_cell_length_b 7.4358
_cell_length_c 7.4358
_cell_angle_alpha 90.00
_cell_angle_beta 90.00
_cell_angle_gamma 90.00
_symmetry_space_group_name_H-M 'F -4 3 m'
_symmetry_Int_Tables_number 216
_symmetry_space_group_name_Hall 'F -4 2 3'
loop_
_atom_site_label
_atom_site_fract_x
_atom_site_fract_y
_atom_site_fract_z
_atom_site_occupancy
La1 0.0000 0.0000 0.0000 1
Pm1 0.0000 0.0000 0.5000 1
In1 0.2500 0.2500 0.2500 1
Ru1 0.2500 0.2500 0.7500 1
```

Energy of formation ... -0.211 eV/atom
Final energy ... -90.2 eV per cell

=====

La3PmInRu | GGA-PBE | relaxed

The structure in CIF format:
```
data_La3PmInRu
_cell_length_a 16.6809
_cell_length_b 7.5566
_cell_length_c 6.2011
_cell_angle_alpha 90.00
_cell_angle_beta 111.70
_cell_angle_gamma 90.00
_symmetry_space_group_name_H-M 'C 1 2/m 1'
_symmetry_Int_Tables_number 12
_symmetry_space_group_name_Hall '-C 2y'
loop_
_atom_site_label
_atom_site_fract_x
_atom_site_fract_y
_atom_site_fract_z
_atom_site_occupancy
La1 0.1176 0.2496 0.1167 1
La2 0.1812 0.0000 0.6796 1
Pm1 0.0000 0.2983 0.5000 1
In1 0.1947 0.5000 0.6952 1
Ru1 0.0002 0.0000 0.2406 1
```

Energy of formation ... -0.329 eV/atom
Final energy ... -134.1 eV per cell

=====

La2PmSc2In5 | GGA-PBE | relaxed

The structure in CIF format:
```
data_La2PmSc2In5
_cell_length_a 10.8039
_cell_length_b 10.8039
_cell_length_c 4.6863
_cell_angle_alpha 90.00
_cell_angle_beta 90.00
_cell_angle_gamma 90.00
_symmetry_space_group_name_H-M 'P 4/m b m'
_symmetry_Int_Tables_number 127
_symmetry_space_group_name_Hall '-P 4 2ab'
loop_
_atom_site_label
_atom_site_fract_x
_atom_site_fract_y
_atom_site_fract_z
_atom_site_occupancy
La1 0.1787 0.3213 0.0000 1
Pm1 0.0000 0.0000 0.0000 1
Sc1 0.1184 0.6184 0.0000 1
In1 0.0000 0.5000 0.5000 1
In2 0.0635 0.7947 0.5000 1
```

Energy of formation ... -0.412 eV/atom
Final energy ... -90.2 eV per cell

=====

LaPmSc2In4 | GGA-PBE | relaxed

The structure in CIF format:
```
data_LaPmSc2In4
_cell_length_a 5.2912
_cell_length_b 5.2912
_cell_length_c 25.9898
_cell_angle_alpha 90.00
_cell_angle_beta 90.00
_cell_angle_gamma 120.00
_symmetry_space_group_name_H-M 'R -3 m'
_symmetry_Int_Tables_number 166
_symmetry_space_group_name_Hall '-R 3 2"'
loop_
_atom_site_label
_atom_site_fract_x
_atom_site_fract_y
_atom_site_fract_z
_atom_site_occupancy
La1 0.0000 0.0000 0.0000 1
Pm1 0.0000 0.0000 0.5000 1
Sc1 0.0000 0.0000 0.2500 1
In1 0.0000 0.0000 0.1263 1
In2 0.0000 0.0000 0.3764 1
```

Energy of formation ... -0.436 eV/atom
Final energy ... -110.4 eV per cell

=====

LaPmIn2Se4 | GGA-PBE | relaxed

The structure in CIF format:
```
data_LaPmIn2Se4
_cell_length_a 7.4940
_cell_length_b 4.3260
_cell_length_c 8.0928
_cell_angle_alpha 90.00
_cell_angle_beta 107.95
_cell_angle_gamma 90.00
_symmetry_space_group_name_H-M 'P 1 2/m 1'
_symmetry_Int_Tables_number 10
_symmetry_space_group_name_Hall '-P 2y'
loop_
_atom_site_label
_atom_site_fract_x
_atom_site_fract_y
_atom_site_fract_z
_atom_site_occupancy
La1 0.0000 0.0000 0.0000 1
Pm1 0.5000 0.5000 0.0000 1
In1 0.0000 0.5000 0.5000 1
In2 0.5000 0.0000 0.5000 1
Se1 0.2439 0.5000 0.2154 1
Se2 0.2671 0.0000 0.7860 1
```

Uncorrected formation energy ... -1.33 eV/atom
Final energy ... -39.7 eV per cell

=====

La2PmInSe5 | GGA-PBE | relaxed

The structure in CIF format:
```
data_La2PmInSe5
_cell_length_a 4.2111
_cell_length_b 18.0024
_cell_length_c 13.0636
_cell_angle_alpha 90.00
_cell_angle_beta 90.00
_cell_angle_gamma 90.00
_symmetry_space_group_name_H-M 'C m c 21'
_symmetry_Int_Tables_number 36
_symmetry_space_group_name_Hall 'C 2c -2'
loop_
_atom_site_label
_atom_site_fract_x
_atom_site_fract_y
_atom_site_fract_z
_atom_site_occupancy
La1 0.0000 0.1244 0.0000 1
La2 0.0000 0.1290 0.3818 1
Pm1 0.0000 0.1939 0.6967 1
In1 0.0000 0.4399 0.1773 1
Se1 0.0000 0.0290 0.7982 1
Se2 0.0000 0.2947 0.0257 1
Se3 0.0000 0.2999 0.3591 1
Se4 0.0000 0.3560 0.6991 1
Se5 0.0000 0.4952 0.9879 1
```

Uncorrected formation energy ... -1.57 eV/atom
Final energy ... -195.6 eV per cell

=====

LaPmInSi | GGA-PBE | relaxed

The structure in CIF format:
```
data_LaPmInSi
_cell_length_a 7.5706
_cell_length_b 7.5706
_cell_length_c 7.5706
_cell_angle_alpha 90.00
_cell_angle_beta 90.00
_cell_angle_gamma 90.00
_symmetry_space_group_name_H-M 'F -4 3 m'
_symmetry_Int_Tables_number 216
_symmetry_space_group_name_Hall 'F -4 2 3'
loop_
_atom_site_label
_atom_site_fract_x
_atom_site_fract_y
_atom_site_fract_z
_atom_site_occupancy
La1 0.0000 0.0000 0.0000 1
Pm1 0.0000 0.0000 0.5000 1
In1 0.2500 0.2500 0.2500 1
Si1 0.2500 0.2500 0.7500 1
```

Uncorrected formation energy ... -0.41 eV/atom
Final energy ... -77.9 eV per cell

=====

LaPmSmIn | GGA-PBE | relaxed

The structure in CIF format:
```
data_LaPmSmIn
_cell_length_a 4.9140
_cell_length_b 4.9140
_cell_length_c 10.2646
_cell_angle_alpha 90.00
_cell_angle_beta 90.00
_cell_angle_gamma 90.00
_symmetry_space_group_name_H-M 'I -4 m 2'
_symmetry_Int_Tables_number 119
_symmetry_space_group_name_Hall 'I -4 -2'
loop_
_atom_site_label
_atom_site_fract_x
_atom_site_fract_y
_atom_site_fract_z
_atom_site_occupancy
La1 0.0000 0.0000 0.0000 1
Pm1 0.0000 0.5000 0.7500 1
Sm1 0.0000 0.5000 0.2500 1
In1 0.0000 0.0000 0.5000 1
```

Offset from the most stable computed form ... 0.000 eV/atom
Energy of formation ... -0.239 eV/atom
Final energy ... -36.2 eV per cell

=====

LaPmSm2In4 | GGA-PBE | relaxed

The structure in CIF format:
```
data_LaPmSm2In4
_cell_length_a 5.4647
_cell_length_b 5.4647
_cell_length_c 26.8232
_cell_angle_alpha 90.00
_cell_angle_beta 90.00
_cell_angle_gamma 120.00
_symmetry_space_group_name_H-M 'R -3 m'
_symmetry_Int_Tables_number 166
_symmetry_space_group_name_Hall '-R 3 2"'
loop_
_atom_site_label
_atom_site_fract_x
_atom_site_fract_y
_atom_site_fract_z
_atom_site_occupancy
La1 0.0000 0.0000 0.0000 1
Pm1 0.0000 0.0000 0.5000 1
Sm1 0.0000 0.0000 0.2498 1
In1 0.0000 0.0000 0.1261 1
In2 0.0000 0.0000 0.3761 1
```

Energy of formation ... -0.495 eV/atom
Final energy ... -102.1 eV per cell